The following is a PBE calculation of a relaxed structure of Cu2TeCl8, from Alexandria.

Structure (POSCAR):
```
Cu2TeCl8
1.0
6.317 0.389 0.295
0.546 7.620 0.509
0.546 2.542 7.201
Cu Te Cl
2 1 8
Cartesian
5.183 8.401 6.374
2.225 2.150 1.632
0.000 0.000 0.000
1.945 4.626 6.645
5.463 2.905 5.339
2.827 8.659 6.570
4.581 1.892 1.435
1.945 7.646 2.666
5.463 5.925 1.360
5.139 6.713 5.094
2.269 3.838 2.912
```

Formation energy without anion corrections in eV/atom: -0.42
Total moment in Bohr magnetons per cell: 2.074
E_tot in Ry/atom: -0.205
Symmetry: No. 12